Here is crystalline Mn2H4Os at its relaxed geometry from the Alexandria database. Energies are from PBE.

Cell lengths 5.7205, 5.7205, 5.7205 Å; angles 145.17, 145.17, 50.07 degrees
Closest atoms and distances in Å follow each position.
Element x y z (fractional)
Mn  0.1584  0.1584  0.0000  1 H 1.80
Mn  0.8416  0.8416  0.0000  1 H 1.80
H  0.0000  0.5000  0.5000  2 Os 1.71
H  0.3325  0.3325  0.0000  1 Os 1.74, 1 Mn 1.80
H  0.5000  0.0000  0.5000  2 Os 1.71
H  0.6675  0.6675  0.0000  1 Os 1.74, 1 Mn 1.80
Os  0.5000  0.5000  0.0000  6 H 1.71-1.74

Raw total energy in eV/atom: -5.80
N(E_F) in states/eV/cell: 3.8
Magnetization in μB/cell: 8.380
Symmetry: I4/mmm, No. 139